Entry 1:
# Cs3GaI4 PBE-GGA optimized geometry
# * total magnetic moment: 0.00 Bohr magnetons per cell
# * excess energy over the best structure of this formula in the dataset: 0 meV/atom
# * space group: No. 31
# * ΔE_f (raw): -1.23 eV per atom
data_Cs3GaI4
_space_group_name_H-M_alt 'P 1'
_space_group_IT_number 1
_space_group_name_Hall 'P 1'
_cell_length_a 7.7672
_cell_length_b 7.7663
_cell_length_c 15.0780
_cell_angle_alpha 90.00
_cell_angle_beta 90.00
_cell_angle_gamma 90.00
loop_
_atom_site_label
_atom_site_type_symbol
_atom_site_fract_x
_atom_site_fract_y
_atom_site_fract_z
I1 I 0.0548 0.2520 0.7661
I2 I 0.5605 0.1608 0.5000
I3 I 0.0548 0.2520 0.2339
I4 I 0.6406 0.2564 0.0000
I5 I 0.1406 0.7436 0.5000
I6 I 0.5548 0.7480 0.7339
I7 I 0.0605 0.8392 0.0000
I8 I 0.5548 0.7480 0.2661
Ga1 Ga 0.0332 0.2315 0.0000
Ga2 Ga 0.5332 0.7685 0.5000
Cs1 Cs 0.5627 0.7594 0.0000
Cs2 Cs 0.0627 0.2406 0.5000
Cs3 Cs 0.5544 0.2487 0.7500
Cs4 Cs 0.0544 0.7513 0.2500
Cs5 Cs 0.0544 0.7513 0.7500
Cs6 Cs 0.5544 0.2487 0.2500

---

Entry 2:
# Cs2GaI5 PBE-GGA optimized geometry
# * total magnetic moment: 0.00 Bohr magnetons per cell
# * space group: No. 107
# * ΔE_f (raw): -1.00 eV per atom
data_Cs2GaI5
_space_group_name_H-M_alt 'P 1'
_space_group_IT_number 1
_space_group_name_Hall 'P 1'
_cell_length_a 8.6761
_cell_length_b 8.6759
_cell_length_c 8.2473
_cell_angle_alpha 121.74
_cell_angle_beta 121.74
_cell_angle_gamma 89.99
loop_
_atom_site_label
_atom_site_type_symbol
_atom_site_fract_x
_atom_site_fract_y
_atom_site_fract_z
Cs1 Cs 0.2622 0.7622 0.5243
Cs2 Cs 0.7621 0.2621 0.5243
I1 I 0.7946 0.7946 0.0325
I2 I 0.7254 0.7254 0.4508
I3 I 0.2379 0.2379 0.0325
I4 I 0.2380 0.7946 0.0326
I5 I 0.7946 0.2379 0.0325
Ga1 Ga 0.9623 0.9622 0.9245

---

Entry 3:
# CsInGaI3 PBE-GGA optimized geometry
# * total magnetic moment: 0.00 Bohr magnetons per cell
# * space group: No. 11
# * ΔE_f (raw): -0.76 eV per atom
data_CsInGaI3
_space_group_name_H-M_alt 'P 1'
_space_group_IT_number 1
_space_group_name_Hall 'P 1'
_cell_length_a 5.0830
_cell_length_b 10.0672
_cell_length_c 12.1771
_cell_angle_alpha 113.73
_cell_angle_beta 90.00
_cell_angle_gamma 90.00
loop_
_atom_site_label
_atom_site_type_symbol
_atom_site_fract_x
_atom_site_fract_y
_atom_site_fract_z
Ga1 Ga 0.2500 0.1554 0.6497
Ga2 Ga 0.7500 0.8446 0.3503
In1 In 0.7500 0.2959 0.8599
In2 In 0.2500 0.7041 0.1401
I1 I 0.2500 0.8159 0.5129
I2 I 0.7500 0.4636 0.1453
I3 I 0.2500 0.5364 0.8547
I4 I 0.7500 0.9134 0.1051
I5 I 0.7500 0.1841 0.4871
I6 I 0.2500 0.0866 0.8949
Cs1 Cs 0.7500 0.7687 0.7579
Cs2 Cs 0.2500 0.2313 0.2421

---

Entry 4:
# CsIn2GaI4 PBE-GGA optimized geometry
# * total magnetic moment: 0.00 Bohr magnetons per cell
# * space group: No. 15
# * ΔE_f (raw): -0.66 eV per atom
data_CsIn2GaI4
_space_group_name_H-M_alt 'P 1'
_space_group_IT_number 1
_space_group_name_Hall 'P 1'
_cell_length_a 10.1338
_cell_length_b 10.1338
_cell_length_c 10.1452
_cell_angle_alpha 120.04
_cell_angle_beta 120.04
_cell_angle_gamma 89.97
loop_
_atom_site_label
_atom_site_type_symbol
_atom_site_fract_x
_atom_site_fract_y
_atom_site_fract_z
In1 In 0.5000 0.0000 0.5000
In2 In 0.5000 0.5000 0.0000
In3 In 0.0000 0.0000 0.5000
In4 In 0.5000 0.0000 0.0000
I1 I 0.7384 0.2247 0.9815
I2 I 0.7247 0.2384 0.4815
I3 I 0.7410 0.7578 0.5091
I4 I 0.2617 0.7753 0.0185
I5 I 0.2578 0.2410 0.0091
I6 I 0.2753 0.7616 0.5185
I7 I 0.2590 0.2422 0.4909
I8 I 0.7422 0.7590 0.9909
Ga1 Ga 0.0000 0.0000 0.0000
Ga2 Ga 0.5000 0.5000 0.5000
Cs1 Cs 0.0000 0.5000 0.5000
Cs2 Cs 0.0000 0.5000 0.0000

---

Entry 5:
# CsInGa2I8 PBE-GGA optimized geometry
# * total magnetic moment: 0.00 Bohr magnetons per cell
# * space group: No. 148
# * ΔE_f (raw): -0.70 eV per atom
data_CsInGa2I8
_space_group_name_H-M_alt 'P 1'
_space_group_IT_number 1
_space_group_name_Hall 'P 1'
_cell_length_a 7.7324
_cell_length_b 7.7324
_cell_length_c 12.0680
_cell_angle_alpha 71.31
_cell_angle_beta 71.31
_cell_angle_gamma 60.00
loop_
_atom_site_label
_atom_site_type_symbol
_atom_site_fract_x
_atom_site_fract_y
_atom_site_fract_z
I1 I 0.0651 0.4328 0.8115
I2 I 0.1687 0.1687 0.4939
I3 I 0.4328 0.6906 0.8115
I4 I 0.5672 0.3094 0.1885
I5 I 0.6906 0.0651 0.8115
I6 I 0.3094 0.9349 0.1885
I7 I 0.8313 0.8313 0.5061
I8 I 0.9349 0.5672 0.1885
Ga1 Ga 0.2453 0.2453 0.2641
Ga2 Ga 0.7547 0.7547 0.7359
Cs1 Cs 0.5000 0.5000 0.5000
In1 In 0.0000 0.0000 0.0000

---

Entry 6:
# CsIn2GaI8 PBE-GGA optimized geometry
# * total magnetic moment: 0.00 Bohr magnetons per cell
# * space group: No. 147
# * ΔE_f (raw): -0.68 eV per atom
data_CsIn2GaI8
_space_group_name_H-M_alt 'P 1'
_space_group_IT_number 1
_space_group_name_Hall 'P 1'
_cell_length_a 7.7989
_cell_length_b 7.7989
_cell_length_c 11.4025
_cell_angle_alpha 90.00
_cell_angle_beta 90.00
_cell_angle_gamma 120.00
loop_
_atom_site_label
_atom_site_type_symbol
_atom_site_fract_x
_atom_site_fract_y
_atom_site_fract_z
In1 In 0.6667 0.3333 0.2415
In2 In 0.3333 0.6667 0.7585
I1 I 0.9965 0.3265 0.6848
I2 I 0.3265 0.3301 0.3152
I3 I 0.6699 0.9965 0.3152
I4 I 0.0035 0.6735 0.3152
I5 I 0.3301 0.0035 0.6848
I6 I 0.6735 0.6699 0.6848
I7 I 0.6667 0.3333 0.9999
I8 I 0.3333 0.6667 0.0001
Cs1 Cs 0.0000 0.0000 0.0000
Ga1 Ga 0.0000 0.0000 0.5000

---

Entry 7:
# Cs2InGaI6 PBE-GGA optimized geometry
# * total magnetic moment: 0.00 Bohr magnetons per cell
# * space group: No. 225
# * ΔE_f (raw): -0.90 eV per atom
data_Cs2InGaI6
_space_group_name_H-M_alt 'P 1'
_space_group_IT_number 1
_space_group_name_Hall 'P 1'
_cell_length_a 8.6387
_cell_length_b 8.6387
_cell_length_c 8.6387
_cell_angle_alpha 60.00
_cell_angle_beta 60.00
_cell_angle_gamma 60.00
loop_
_atom_site_label
_atom_site_type_symbol
_atom_site_fract_x
_atom_site_fract_y
_atom_site_fract_z
I1 I 0.2563 0.2563 0.7437
I2 I 0.7437 0.2563 0.2563
I3 I 0.2563 0.7437 0.7437
I4 I 0.2563 0.7437 0.2563
I5 I 0.7437 0.7437 0.2563
I6 I 0.7437 0.2563 0.7437
Cs1 Cs 0.2500 0.2500 0.2500
Cs2 Cs 0.7500 0.7500 0.7500
In1 In 0.5000 0.5000 0.5000
Ga1 Ga 0.0000 0.0000 0.0000

---

Entry 8:
# Cs2LaGaI6 PBE-GGA optimized geometry
# * total magnetic moment: 0.00 Bohr magnetons per cell
# * excess energy over the best structure of this formula in the dataset: 20 meV/atom
# * space group: No. 225
# * ΔE_f (raw): -1.30 eV per atom
data_Cs2LaGaI6
_space_group_name_H-M_alt 'P 1'
_space_group_IT_number 1
_space_group_name_Hall 'P 1'
_cell_length_a 9.0085
_cell_length_b 9.0085
_cell_length_c 9.0102
_cell_angle_alpha 60.01
_cell_angle_beta 60.01
_cell_angle_gamma 90.00
loop_
_atom_site_label
_atom_site_type_symbol
_atom_site_fract_x
_atom_site_fract_y
_atom_site_fract_z
I1 I 0.2477 0.2477 0.0000
I2 I 0.7523 0.7523 0.0000
I3 I 0.2476 0.2476 0.5048
I4 I 0.7524 0.7524 0.4952
I5 I 0.2477 0.7523 0.0000
I6 I 0.7523 0.2477 0.0000
Cs1 Cs 0.2500 0.7500 0.5000
Cs2 Cs 0.7500 0.2500 0.5000
La1 La 0.0000 0.0000 0.0000
Ga1 Ga 0.5000 0.5000 0.0000

---

Entry 9:
# Cs2LaGaI6 PBE-GGA optimized geometry
# * total magnetic moment: 0.00 Bohr magnetons per cell
# * excess energy over the best structure of this formula in the dataset: 0 meV/atom
# * space group: No. 14
# * ΔE_f (raw): -1.32 eV per atom
data_Cs2LaGaI6
_space_group_name_H-M_alt 'P 1'
_space_group_IT_number 1
_space_group_name_Hall 'P 1'
_cell_length_a 8.7312
_cell_length_b 9.1292
_cell_length_c 12.6247
_cell_angle_alpha 90.00
_cell_angle_beta 89.59
_cell_angle_gamma 90.00
loop_
_atom_site_label
_atom_site_type_symbol
_atom_site_fract_x
_atom_site_fract_y
_atom_site_fract_z
I1 I 0.0781 0.4887 0.7543
I2 I 0.8052 0.7902 0.9617
I3 I 0.9219 0.5113 0.2457
I4 I 0.5781 0.0113 0.2543
I5 I 0.3052 0.7098 0.4617
I6 I 0.6948 0.2902 0.5383
I7 I 0.2051 0.1970 0.4601
I8 I 0.7949 0.8030 0.5399
I9 I 0.4219 0.9887 0.7457
I10 I 0.7051 0.3030 0.9601
I11 I 0.1948 0.2098 0.0383
I12 I 0.2949 0.6970 0.0399
Cs1 Cs 0.5221 0.5684 0.7505
Cs2 Cs 0.9779 0.0684 0.7495
Cs3 Cs 0.4779 0.4316 0.2495
Cs4 Cs 0.0221 0.9316 0.2505
Ga1 Ga 0.5000 0.0000 0.0000
Ga2 Ga 0.0000 0.5000 0.5000
La1 La 0.5000 0.0000 0.5000
La2 La 0.0000 0.5000 0.0000

---

Entry 10:
# CsLiGaI3 PBE-GGA optimized geometry
# * total magnetic moment: 0.00 Bohr magnetons per cell
# * space group: No. 11
# * ΔE_f (raw): -1.03 eV per atom
data_CsLiGaI3
_space_group_name_H-M_alt 'P 1'
_space_group_IT_number 1
_space_group_name_Hall 'P 1'
_cell_length_a 4.8427
_cell_length_b 10.5451
_cell_length_c 11.0585
_cell_angle_alpha 105.09
_cell_angle_beta 90.00
_cell_angle_gamma 90.00
loop_
_atom_site_label
_atom_site_type_symbol
_atom_site_fract_x
_atom_site_fract_y
_atom_site_fract_z
Cs1 Cs 0.2500 0.1899 0.2230
Cs2 Cs 0.7500 0.8101 0.7770
I1 I 0.7500 0.1780 0.5186
I2 I 0.2500 0.5523 0.8443
I3 I 0.7500 0.8856 0.1421
I4 I 0.2500 0.1144 0.8579
I5 I 0.2500 0.8220 0.4814
I6 I 0.7500 0.4477 0.1557
Li1 Li 0.7500 0.9077 0.3934
Li2 Li 0.2500 0.0923 0.6066
Ga1 Ga 0.7500 0.3455 0.8647
Ga2 Ga 0.2500 0.6545 0.1353

---

Entry 11:
# CsLiGa2I8 PBE-GGA optimized geometry
# * total magnetic moment: 0.00 Bohr magnetons per cell
# * space group: No. 148
# * ΔE_f (raw): -0.81 eV per atom
data_CsLiGa2I8
_space_group_name_H-M_alt 'P 1'
_space_group_IT_number 1
_space_group_name_Hall 'P 1'
_cell_length_a 7.4399
_cell_length_b 7.4399
_cell_length_c 11.6385
_cell_angle_alpha 71.36
_cell_angle_beta 71.36
_cell_angle_gamma 60.00
loop_
_atom_site_label
_atom_site_type_symbol
_atom_site_fract_x
_atom_site_fract_y
_atom_site_fract_z
I1 I 0.9443 0.6112 0.1684
I2 I 0.2761 0.9443 0.1684
I3 I 0.6112 0.2761 0.1684
I4 I 0.8266 0.8266 0.5201
I5 I 0.1734 0.1734 0.4799
I6 I 0.7239 0.0557 0.8316
I7 I 0.0557 0.3888 0.8316
I8 I 0.3888 0.7239 0.8316
Cs1 Cs 0.5000 0.5000 0.5000
Ga1 Ga 0.2531 0.2531 0.2408
Ga2 Ga 0.7469 0.7469 0.7592
Li1 Li 0.0000 0.0000 0.0000

---

Entry 12:
# CsLiGa2I4 PBE-GGA optimized geometry
# * total magnetic moment: 0.00 Bohr magnetons per cell
# * space group: No. 74
# * ΔE_f (raw): -0.77 eV per atom
data_CsLiGa2I4
_space_group_name_H-M_alt 'P 1'
_space_group_IT_number 1
_space_group_name_Hall 'P 1'
_cell_length_a 9.8475
_cell_length_b 9.8475
_cell_length_c 9.9049
_cell_angle_alpha 120.18
_cell_angle_beta 120.18
_cell_angle_gamma 89.91
loop_
_atom_site_label
_atom_site_type_symbol
_atom_site_fract_x
_atom_site_fract_y
_atom_site_fract_z
Cs1 Cs 0.0000 0.5000 0.0000
Cs2 Cs 0.0000 0.5000 0.5000
I1 I 0.2651 0.2350 0.9781
I2 I 0.2300 0.8262 0.0281
I3 I 0.7700 0.1738 0.9719
I4 I 0.7350 0.7651 0.4781
I5 I 0.2650 0.2349 0.5219
I6 I 0.3262 0.7300 0.5281
I7 I 0.7349 0.7650 0.0219
I8 I 0.6738 0.2700 0.4719
Li1 Li 0.5000 0.5000 0.5000
Li2 Li 0.0000 0.0000 0.0000
Ga1 Ga 0.5000 0.0000 0.0000
Ga2 Ga 0.5000 0.5000 0.0000
Ga3 Ga 0.5000 0.0000 0.5000
Ga4 Ga 0.0000 0.0000 0.5000

---

Question: Among the records above, which one has the highest ΔE_f (raw)?
Answer: CsIn2GaI4